Entry 1:
# SmSc2CdPd4

A geometry-optimized SmSc2CdPd4 structure (PBE-GGA, Alexandria).

a = 4.751 Å, b = 4.751 Å, c = 8.323 Å
α = 73.42°, β = 73.42°, γ = 60.00°
Positions (direct):
1 Pd 0.621 0.621 0.138
2 Cd 0.500 0.500 0.500
3 Pd 0.877 0.877 0.368
4 Sm 0.000 0.000 0.000
5 Sc 0.242 0.242 0.275
6 Pd 0.379 0.379 0.862
7 Pd 0.123 0.123 0.632
8 Sc 0.758 0.758 0.725

Calculated values
For the total magnetization, the calculation gives 0.00 μB per atom. The value obtained for the energy of formation is -72 kJ per mole of atoms. For the density of states at the Fermi level, the calculation gives 5.87 states/eV/f.u. As for the space-group type: R-3m (166).



Entry 2:
# AlSiRh2

A geometry-optimized AlSiRh2 structure (PBE-GGA, Alexandria).

a = 8.216 Å, b = 8.216 Å, c = 8.216 Å
α = 20.14°, β = 20.15°, γ = 20.15°
Positions (direct):
1 Rh 0.242 0.242 0.242
2 Al 0.748 0.748 0.748
3 Rh 0.005 0.005 0.005
4 Si 0.504 0.504 0.504

Calculated values
For the total magnetization, the calculation gives 0.00 μB per atom. For the density of states at the Fermi level, the calculation gives 3.96 states/eV/f.u. The total energy is -6.3482 eV per atom. As for the space-group type: R3m (160).



Entry 3:
# SrIn2Pt

A geometry-optimized SrIn2Pt structure (PBE-GGA, Alexandria).

a = 5.989 Å, b = 8.035 Å, c = 16.642 Å
α = 90.00°, β = 90.00°, γ = 90.00°
Positions (direct):
1 In 0.762 0.555 0.038
2 In 0.530 0.447 0.713
3 In 0.030 0.553 0.787
4 Pt 0.244 0.250 0.318
5 In 0.262 0.055 0.462
6 In 0.530 0.053 0.713
7 In 0.970 0.053 0.213
8 In 0.238 0.055 0.962
9 Sr 0.531 0.750 0.861
10 In 0.470 0.553 0.287
11 Sr 0.031 0.250 0.639
12 Sr 0.758 0.250 0.395
13 Sr 0.969 0.750 0.361
14 In 0.762 0.945 0.038
15 Pt 0.479 0.750 0.428
16 Pt 0.744 0.750 0.182
17 Pt 0.756 0.750 0.682
18 In 0.238 0.445 0.962
19 In 0.470 0.947 0.287
20 Pt 0.521 0.250 0.572
21 In 0.262 0.445 0.462
22 In 0.030 0.947 0.787
23 Pt 0.021 0.750 0.928
24 Sr 0.258 0.750 0.105
25 Pt 0.256 0.250 0.818
26 Sr 0.242 0.750 0.605
27 Pt 0.979 0.250 0.072
28 Sr 0.469 0.250 0.139
29 In 0.970 0.447 0.213
30 In 0.738 0.555 0.538
31 In 0.738 0.945 0.538
32 Sr 0.742 0.250 0.895

Calculated values
For the total magnetization, the calculation gives 0.00 μB per atom. The value obtained for the energy of formation is -63 kJ per mole of atoms. For the density of states at the Fermi level, the calculation gives 1.56 states/eV/f.u. As for the space-group type: Pnma (62).



Entry 4:
# Li8InAg6

A geometry-optimized Li8InAg6 structure (PBE-GGA, Alexandria).

a = 7.255 Å, b = 7.255 Å, c = 7.299 Å
α = 60.20°, β = 60.20°, γ = 60.00°
Positions (direct):
1 Ag 0.391 0.136 0.843
2 Ag 0.609 0.864 0.157
3 Li 0.882 0.600 0.371
4 Li 0.400 0.854 0.629
5 Li 0.732 0.732 0.803
6 Ag 0.370 0.609 0.157
7 In 0.000 0.000 0.000
8 Li 0.854 0.118 0.629
9 Ag 0.864 0.370 0.157
10 Ag 0.136 0.630 0.843
11 Li 0.268 0.268 0.197
12 Li 0.118 0.400 0.629
13 Li 0.600 0.146 0.371
14 Ag 0.630 0.391 0.843
15 Li 0.146 0.882 0.371

Calculated values
For the total magnetization, the calculation gives 0.00 μB per atom. The value obtained for the energy of formation is -9 kJ per mole of atoms. For the density of states at the Fermi level, the calculation gives 2.12 states/eV/f.u. As for the space-group type: R-3 (148).



Entry 5:
# TeAsN

A geometry-optimized TeAsN structure (PBE-GGA, Alexandria).

a = 5.069 Å, b = 5.312 Å, c = 8.982 Å
α = 90.05°, β = 90.00°, γ = 118.50°
Positions (direct):
1 As 0.665 0.330 0.637
2 Te 0.335 0.670 0.645
3 As 0.335 0.670 0.363
4 N 0.060 0.119 0.003
5 Te 0.665 0.330 0.355
6 N 0.940 0.881 0.997

Calculated values
For the total magnetization, the calculation gives 0.00 μB per atom. As for the energy relative to the lowest polymorph listed for this composition: 0.00 kcal/mol of atoms. For the density of states at the Fermi level, the calculation gives 0.89 states/eV/f.u. As for the space-group type: C2/m (12).



Entry 6:
# Mn2C

A geometry-optimized Mn2C structure (PBE-GGA, Alexandria).

a = 2.616 Å, b = 2.616 Å, c = 9.136 Å
α = 90.00°, β = 90.00°, γ = 120.00°
Positions (direct):
1 Mn 0.333 0.667 0.890
2 Mn 0.667 0.333 0.390
3 C 0.000 0.000 0.750
4 C 0.000 0.000 0.250
5 Mn 0.333 0.667 0.610
6 Mn 0.667 0.333 0.110

Calculated values
For the total magnetization, the calculation gives 0.00 μB per atom. The value obtained for the energy of formation is 10 kJ per mole of atoms. For the density of states at the Fermi level, the calculation gives 2.77 states/eV/f.u. As for the space-group type: P6_3/mmc (194).



Entry 7:
# SrP2Pd4

A geometry-optimized SrP2Pd4 structure (PBE-GGA, Alexandria).

a = 3.764 Å, b = 7.959 Å, c = 7.959 Å
α = 90.00°, β = 90.00°, γ = 90.00°
Positions (direct):
1 P 0.500 0.275 0.275
2 Pd 0.500 0.585 0.168
3 Pd 0.500 0.168 0.585
4 Pd 0.000 0.085 0.332
5 P 0.000 0.225 0.775
6 Sr 0.000 0.500 0.500
7 Pd 0.500 0.832 0.415
8 Pd 0.000 0.668 0.915
9 Pd 0.000 0.332 0.085
10 P 0.000 0.775 0.225
11 P 0.500 0.725 0.725
12 Pd 0.500 0.415 0.832
13 Pd 0.000 0.915 0.668
14 Sr 0.500 0.000 0.000

Calculated values
For the total magnetization, the calculation gives 0.00 μB per atom. The value obtained for the energy of formation is -68 kJ per mole of atoms. For the density of states at the Fermi level, the calculation gives 3.08 states/eV/f.u. As for the space-group type: P4_2/mnm (136).



Entry 8:
# Sc2MnHgC

A geometry-optimized Sc2MnHgC structure (PBE-GGA, Alexandria).

a = 4.626 Å, b = 4.626 Å, c = 3.784 Å
α = 90.00°, β = 90.00°, γ = 90.00°
Last column: magnetic moment on the atom in μB.
Positions (direct):
1 Sc 0.500 0.000 0.000  -0.10
2 C 0.000 0.000 0.000  -0.05
3 Mn 0.000 0.000 0.500  1.25
4 Hg 0.500 0.500 0.500  -0.03
5 Sc 0.000 0.500 0.000  -0.10

Calculated values
For the total magnetization, the calculation gives 0.17 μB per atom. The value obtained for the energy of formation is -39 kJ per mole of atoms. For the density of states at the Fermi level, the calculation gives 4.75 states/eV/f.u. As for the space-group type: P4/mmm (123).